First-principles (PBE-GGA) data for a geometry-optimized AcSnBr6 structure, as listed in the Alexandria database.

Cell lengths 7.8796, 7.8796, 7.8796 Å; angles 54.66, 54.66, 54.66 degrees
Last column: nearest neighbours and their distance in Å.
Sites, in units of the cell vectors:
Ac 0.0000 0.0000 0.0000  6 Br 3.06
Sn 0.5000 0.5000 0.5000  6 Br 2.82
Br 0.0936 0.4316 0.7351  1 Sn 2.82, 1 Ac 3.06
Br 0.2649 0.9064 0.5684  1 Sn 2.82, 1 Ac 3.06
Br 0.4316 0.7351 0.0936  1 Sn 2.82, 1 Ac 3.06
Br 0.5684 0.2649 0.9064  1 Sn 2.82, 1 Ac 3.06
Br 0.7351 0.0936 0.4316  1 Sn 2.82, 1 Ac 3.06
Br 0.9064 0.5684 0.2649  1 Sn 2.82, 1 Ac 3.06

Computed properties:
The electronic total energy comes out at -28.16 eV/cell.